Material: BaCoIO2
Method: DFT, PBE+U
State: relaxed

Results
The calculation puts the total magnetization at 2.69 μB/cell. For the distance to the lowest polymorph of the same formula, the calculation gives 3.57 eV per formula unit. Its crystal system is tetragonal. Its total energy is -3.719 eV per atom. For the density of states at the Fermi level, the calculation gives 1.387 states/eV per atom.

The structure in CIF format:
```
data_BaCoIO2
_cell_length_a 4.498
_cell_length_b 4.498
_cell_length_c 7.315
_cell_angle_alpha 90.00
_cell_angle_beta 90.00
_cell_angle_gamma 90.00
_space_group_name_H-M_alt 'P 4/m m m'
_space_group_IT_number 123
_space_group_name_Hall '-P 4 2'
loop_
_atom_site_label
_atom_site_fract_x
_atom_site_fract_y
_atom_site_fract_z
Ba1 0.000 0.000 0.000
Co1 0.500 0.500 0.500
I1 0.000 0.000 0.500
O1 0.000 0.500 0.000
```